1) Pa2PSe | PBE | optimized geometry

Computed properties:
DOS at the Fermi energy: 1.93 states/eV per atom

Cell and atoms, written as CIF:
```
data_Pa2PSe
_chemical_formula_sum 'Pa8 P4 Se4'
_cell_length_a 6.931
_cell_length_b 6.931
_cell_length_c 6.931
_cell_angle_alpha 90.00
_cell_angle_beta 90.00
_cell_angle_gamma 90.00
_space_group_name_H-M_alt 'F m -3 m'
_space_group_IT_number 225
_space_group_name_Hall '-F 4 2 3'
loop_
_atom_site_label
_atom_site_fract_x
_atom_site_fract_y
_atom_site_fract_z
_atom_site_occupancy
Pa1 0.250 0.250 0.250 1
P1 0.000 0.000 0.000 1
Se1 0.000 0.000 0.500 1
```



2) Pa2PSe | PBE | optimized geometry

Computed properties:
DOS at the Fermi energy: 1.67 states/eV per atom

Cell and atoms, written as CIF:
```
data_Pa2PSe
_chemical_formula_sum 'Pa4 P2 Se2'
_cell_length_a 3.648
_cell_length_b 7.886
_cell_length_c 6.350
_cell_angle_alpha 90.00
_cell_angle_beta 90.00
_cell_angle_gamma 90.00
_space_group_name_H-M_alt 'P m m n'
_space_group_IT_number 59
loop_
_space_group_symop_operation_xyz
'x,y,z'
'-x,-y,-z'
'-x+1/2,-y+1/2,z'
'x+1/2,y+1/2,-z'
'x+1/2,-y,-z'
'-x+1/2,y,z'
'-x,y+1/2,-z'
'x,-y+1/2,z'
loop_
_atom_site_label
_atom_site_fract_x
_atom_site_fract_y
_atom_site_fract_z
_atom_site_occupancy
Pa1 0.250 0.006 0.238 1
P1 0.250 0.750 0.919 1
Se1 0.250 0.250 0.585 1
```



Need the numbers? Relative energies in meV per atom: 1) 71; 2) 0.



1) Pa2PSe | PBE | optimized geometry

Computed properties:
DOS at the Fermi energy: 1.62 states/eV per atom

Cell and atoms, written as CIF:
```
data_Pa2PSe
_chemical_formula_sum 'Pa6 P3 Se3'
_cell_length_a 4.0158
_cell_length_b 4.0158
_cell_length_c 19.7497
_cell_angle_alpha 90.00
_cell_angle_beta 90.00
_cell_angle_gamma 120.00
_space_group_name_H-M_alt 'R -3 m'
_space_group_IT_number 166
_space_group_name_Hall '-R 3 2"'
loop_
_atom_site_label
_atom_site_fract_x
_atom_site_fract_y
_atom_site_fract_z
_atom_site_occupancy
Pa1 0.0000 0.0000 0.2434 1
P1 0.0000 0.0000 0.5000 1
Se1 0.0000 0.0000 0.0000 1
```



2) Pa2PSe | PBE | optimized geometry

Computed properties:
DOS at the Fermi energy: 1.48 states/eV per atom

Cell and atoms, written as CIF:
```
data_Pa2PSe
_chemical_formula_sum 'Pa6 P3 Se3'
_cell_length_a 3.8012
_cell_length_b 3.8012
_cell_length_c 22.1527
_cell_angle_alpha 90.00
_cell_angle_beta 90.00
_cell_angle_gamma 120.00
_space_group_name_H-M_alt 'R 3 m'
_space_group_IT_number 160
_space_group_name_Hall 'R 3 -2"'
loop_
_atom_site_label
_atom_site_fract_x
_atom_site_fract_y
_atom_site_fract_z
_atom_site_occupancy
Pa1 0.0000 0.0000 0.0000 1
Pa2 0.0000 0.0000 0.1821 1
P1 0.0000 0.0000 0.5917 1
Se1 0.0000 0.0000 0.4234 1
```



3) Pa2PSe | PBE | optimized geometry

Computed properties:
DOS at the Fermi energy: 1.93 states/eV per atom

Cell and atoms, written as CIF:
```
data_Pa2PSe
_chemical_formula_sum 'Pa2 P1 Se1'
_cell_length_a 3.458
_cell_length_b 3.458
_cell_length_c 6.965
_cell_angle_alpha 90.00
_cell_angle_beta 90.00
_cell_angle_gamma 90.00
_space_group_name_H-M_alt 'P 4/m m m'
_space_group_IT_number 123
_space_group_name_Hall '-P 4 2'
loop_
_atom_site_label
_atom_site_fract_x
_atom_site_fract_y
_atom_site_fract_z
_atom_site_occupancy
Pa1 0.000 0.000 0.237 1
P1 0.500 0.500 0.000 1
Se1 0.500 0.500 0.500 1
```



4) Pa2PSe | PBE | optimized geometry

Computed properties:
DOS at the Fermi energy: 1.58 states/eV per atom

Cell and atoms, written as CIF:
```
data_Pa2PSe
_chemical_formula_sum 'Pa8 P4 Se4'
_cell_length_a 12.451
_cell_length_b 5.681
_cell_length_c 5.680
_cell_angle_alpha 90.00
_cell_angle_beta 114.03
_cell_angle_gamma 90.00
_space_group_name_H-M_alt 'C 1 2/m 1'
_space_group_IT_number 12
loop_
_space_group_symop_operation_xyz
'x,y,z'
'-x,-y,-z'
'-x,y,-z'
'x,-y,z'
'x+1/2,y+1/2,z'
'-x+1/2,-y+1/2,-z'
'-x+1/2,y+1/2,-z'
'x+1/2,-y+1/2,z'
loop_
_atom_site_label
_atom_site_fract_x
_atom_site_fract_y
_atom_site_fract_z
_atom_site_occupancy
Pa1 0.118 0.000 0.368 1
Pa2 0.132 0.500 0.882 1
P1 0.125 0.000 0.875 1
Se1 0.125 0.500 0.375 1
```



Need the numbers? Relative energies in meV per atom: 1) 0; 2) 98; 3) 303; 4) 24.



1) PaSiP | PBE | optimized geometry

Computed properties:
DOS at the Fermi energy: 0.77 states/eV per atom

Cell and atoms, written as CIF:
```
data_PaSiP
_chemical_formula_sum 'Pa1 Si1 P1'
_cell_length_a 4.0681
_cell_length_b 4.0681
_cell_length_c 3.7743
_cell_angle_alpha 90.00
_cell_angle_beta 90.00
_cell_angle_gamma 120.00
_space_group_name_H-M_alt 'P -6 m 2'
_space_group_IT_number 187
_space_group_name_Hall 'P -6 2'
loop_
_atom_site_label
_atom_site_fract_x
_atom_site_fract_y
_atom_site_fract_z
_atom_site_occupancy
Pa1 0.0000 0.0000 0.0000 1
Si1 0.6667 0.3333 0.5000 1
P1 0.3333 0.6667 0.5000 1
```



2) PaSiP | PBE | optimized geometry

Computed properties:
DOS at the Fermi energy: 0.98 states/eV per atom

Cell and atoms, written as CIF:
```
data_PaSiP
_chemical_formula_sum 'Pa16 Si16 P16'
_cell_length_a 5.501
_cell_length_b 14.609
_cell_length_c 17.434
_cell_angle_alpha 90.00
_cell_angle_beta 90.00
_cell_angle_gamma 90.00
_space_group_name_H-M_alt 'F m m m'
_space_group_IT_number 69
_space_group_name_Hall '-F 2 2'
loop_
_atom_site_label
_atom_site_fract_x
_atom_site_fract_y
_atom_site_fract_z
_atom_site_occupancy
Pa1 0.000 0.156 0.168 1
Si1 0.000 0.000 0.071 1
Si2 0.000 0.136 0.000 1
P1 0.000 0.156 0.326 1
```



Need the numbers? Relative energies in meV per atom: 1) 0; 2) 493.



1) SmPaP | PBE | optimized geometry

Computed properties:
DOS at the Fermi energy: 1.68 states/eV per atom

Cell and atoms, written as CIF:
```
data_SmPaP
_chemical_formula_sum 'Sm2 Pa2 P2'
_cell_length_a 3.500
_cell_length_b 3.500
_cell_length_c 12.060
_cell_angle_alpha 90.00
_cell_angle_beta 90.00
_cell_angle_gamma 90.00
_space_group_name_H-M_alt 'I 4 m m'
_space_group_IT_number 107
_space_group_name_Hall 'I 4 -2'
loop_
_atom_site_label
_atom_site_fract_x
_atom_site_fract_y
_atom_site_fract_z
_atom_site_occupancy
Sm1 0.000 0.000 0.000 1
Pa1 0.000 0.000 0.732 1
P1 0.000 0.000 0.351 1
```



2) SmPaP | PBE | optimized geometry

Computed properties:
DOS at the Fermi energy: 1.39 states/eV per atom

Cell and atoms, written as CIF:
```
data_SmPaP
_chemical_formula_sum 'Sm1 Pa1 P1'
_cell_length_a 3.7909
_cell_length_b 3.7909
_cell_length_c 6.5223
_cell_angle_alpha 90.00
_cell_angle_beta 90.00
_cell_angle_gamma 120.00
_space_group_name_H-M_alt 'P 3 m 1'
_space_group_IT_number 156
loop_
_space_group_symop_operation_xyz
'x,y,z'
'-y,x-y,z'
'-x+y,-x,z'
'-y,-x,z'
'-x+y,y,z'
'x,x-y,z'
loop_
_atom_site_label
_atom_site_fract_x
_atom_site_fract_y
_atom_site_fract_z
_atom_site_occupancy
Sm1 0.0000 0.0000 0.0000 1
Pa1 0.6667 0.3333 0.4729 1
P1 0.3333 0.6667 0.7293 1
```



Need the numbers? Relative energies in meV per atom: 1) 81; 2) 0.



1) SmPaP2 | PBE | optimized geometry

Computed properties:
DOS at the Fermi energy: 0.63 states/eV per atom

Cell and atoms, written as CIF:
```
data_SmPaP2
_chemical_formula_sum 'Sm3 Pa3 P6'
_cell_length_a 4.1486
_cell_length_b 4.1486
_cell_length_c 24.3973
_cell_angle_alpha 90.00
_cell_angle_beta 90.00
_cell_angle_gamma 120.00
_space_group_name_H-M_alt 'R -3 m'
_space_group_IT_number 166
_space_group_name_Hall '-R 3 2"'
loop_
_atom_site_label
_atom_site_fract_x
_atom_site_fract_y
_atom_site_fract_z
_atom_site_occupancy
Sm1 0.0000 0.0000 0.0000 1
Pa1 0.0000 0.0000 0.5000 1
P1 0.0000 0.0000 0.1123 1
```



2) SmPaP2 | PBE | optimized geometry

Computed properties:
DOS at the Fermi energy: 0.93 states/eV per atom

Cell and atoms, written as CIF:
```
data_SmPaP2
_chemical_formula_sum 'Sm2 Pa2 P4'
_cell_length_a 3.814
_cell_length_b 5.265
_cell_length_c 9.908
_cell_angle_alpha 90.00
_cell_angle_beta 90.00
_cell_angle_gamma 90.00
_space_group_name_H-M_alt 'P m m n'
_space_group_IT_number 59
loop_
_space_group_symop_operation_xyz
'x,y,z'
'-x,-y,-z'
'-x+1/2,-y+1/2,z'
'x+1/2,y+1/2,-z'
'x+1/2,-y,-z'
'-x+1/2,y,z'
'-x,y+1/2,-z'
'x,-y+1/2,z'
loop_
_atom_site_label
_atom_site_fract_x
_atom_site_fract_y
_atom_site_fract_z
_atom_site_occupancy
Sm1 0.250 0.250 0.122 1
Pa1 0.250 0.750 0.389 1
P1 0.250 0.250 0.404 1
P2 0.250 0.250 0.833 1
```



3) SmPaP2 | PBE | optimized geometry

Computed properties:
DOS at the Fermi energy: 0.39 states/eV per atom

Cell and atoms, written as CIF:
```
data_SmPaP2
_chemical_formula_sum 'Sm3 Pa3 P6'
_cell_length_a 3.9722
_cell_length_b 3.9722
_cell_length_c 20.6979
_cell_angle_alpha 90.00
_cell_angle_beta 90.00
_cell_angle_gamma 120.00
_space_group_name_H-M_alt 'R 3 m'
_space_group_IT_number 160
_space_group_name_Hall 'R 3 -2"'
loop_
_atom_site_label
_atom_site_fract_x
_atom_site_fract_y
_atom_site_fract_z
_atom_site_occupancy
Sm1 0.0000 0.0000 0.0000 1
Pa1 0.0000 0.0000 0.8229 1
P1 0.0000 0.0000 0.2383 1
P2 0.0000 0.0000 0.4150 1
```



4) SmPaP2 | PBE | optimized geometry

Computed properties:
DOS at the Fermi energy: 0.54 states/eV per atom

Cell and atoms, written as CIF:
```
data_SmPaP2
_chemical_formula_sum 'Sm2 Pa2 P4'
_cell_length_a 4.0215
_cell_length_b 4.0215
_cell_length_c 13.1985
_cell_angle_alpha 90.00
_cell_angle_beta 90.00
_cell_angle_gamma 120.00
_space_group_name_H-M_alt 'P 63/m m c'
_space_group_IT_number 194
_space_group_name_Hall '-P 6c 2c'
loop_
_atom_site_label
_atom_site_fract_x
_atom_site_fract_y
_atom_site_fract_z
_atom_site_occupancy
Sm1 0.3333 0.6667 0.2500 1
Pa1 0.0000 0.0000 0.0000 1
P1 0.3333 0.6667 0.6178 1
```



Need the numbers? Relative energies in meV per atom: 1) 791; 2) 430; 3) 128; 4) 0.